Below is Hf3Al3C after structural relaxation, with properties calculated at the PBE-GGA level.

Calculated formation energy = -0.529 eV/atom
Size of the total moment = 0.0 μB/f.u.
Symmetry = No. 227
Calculated volume = 16.6 Å³ per atom
Fermi-level density of states = 0.760 states/eV per atom

Lattice parameters (Å, degrees): 8.696 8.696 8.696 60.00 60.00 60.00
Element x y z (fractional)
Hf1 0.067 0.433 0.067
Hf2 0.183 0.183 0.817
Hf3 0.817 0.817 0.183
Hf4 0.817 0.183 0.817
Hf5 0.817 0.183 0.183
Hf6 0.183 0.817 0.817
Hf7 0.433 0.067 0.067
Hf8 0.067 0.067 0.433
Hf9 0.433 0.433 0.067
Hf10 0.067 0.433 0.433
Hf11 0.183 0.817 0.183
Hf12 0.433 0.067 0.433
Al1 0.835 0.835 0.835
Al2 0.415 0.415 0.756
Al3 0.415 0.756 0.415
Al4 0.756 0.415 0.415
Al5 0.835 0.494 0.835
Al6 0.494 0.835 0.835
Al7 0.835 0.835 0.494
Al8 0.415 0.415 0.415
Al9 0.625 0.625 0.625
Al10 0.625 0.625 0.125
Al11 0.625 0.125 0.625
Al12 0.125 0.625 0.625
C1 0.125 0.125 0.125
C2 0.125 0.125 0.625
C3 0.125 0.625 0.125
C4 0.625 0.125 0.125